# Th3Co4P4

A relaxed structure of Th3Co4P4 (GGA-PBE, OQMD via LeMat-Bulk).

Cell: 3.9551 3.9765 11.8645 Å, 99.65 99.59 90.00°
Sites, in units of the cell vectors:
Co 0.7511 0.7512 0.5023
Co 0.2489 0.2488 0.4977
Co 0.9044 0.4044 0.8088
Co 0.0956 0.5956 0.1912
Th 0.3499 0.8502 0.7001
Th 0.0000 0.0000 0.0000
Th 0.6501 0.1498 0.2999
P 0.8030 0.3031 0.6060
P 0.4467 0.4470 0.8936
P 0.5533 0.5530 0.1064
P 0.1970 0.6969 0.3940

Calculated values
uncorrected energy: -7.681 eV/atom